(1)
First-principles (PBE-GGA) data for KTcMoS3 after structural relaxation, as listed in Alexandria via LeMat-Bulk.

Cell and atoms, written as POSCAR:
```
KTcMoS3
1.0
3.483 0.000 0.000
0.000 8.407 0.136
0.000 -3.896 8.581
S K Mo Tc
6 2 2 2
direct
0.250 0.769 0.438
0.250 0.112 0.874
0.750 0.231 0.562
0.750 0.468 0.131
0.750 0.888 0.126
0.250 0.532 0.869
0.750 0.754 0.743
0.250 0.246 0.257
0.750 0.302 0.842
0.250 0.698 0.158
0.750 0.913 0.380
0.250 0.087 0.620
```

Output
- Formation energy (no corrections): -0.7057 eV/atom
- Symmetry: No. 11

***

(2)
First-principles (PBE-GGA) data for KTlMoS4 after structural relaxation, as listed in Alexandria via LeMat-Bulk.

Cell and atoms, written as POSCAR:
```
KTlMoS4
1.0
-3.075 -1.194 6.140
-3.180 -5.537 -2.670
8.257 -4.694 -0.099
Mo S Tl K
2 8 2 2
direct
0.806 0.250 0.717
0.194 0.750 0.283
0.575 0.250 0.831
0.003 0.504 0.789
0.997 0.004 0.211
0.673 0.250 0.475
0.003 0.996 0.789
0.997 0.496 0.211
0.327 0.750 0.525
0.425 0.750 0.169
0.727 0.750 0.941
0.273 0.250 0.059
0.214 0.250 0.523
0.786 0.750 0.477
```

Output
- Formation energy (no corrections): -0.7126 eV/atom
- Symmetry: No. 11

***

(3)
First-principles (PBE-GGA) data for KTl2MoS after structural relaxation, as listed in Alexandria via LeMat-Bulk.

Cell and atoms, written as POSCAR:
```
KTl2MoS
1.0
5.431 0.000 0.000
0.000 6.299 0.000
0.000 0.000 5.431
K Tl S Mo
1 2 1 1
direct
0.000 0.500 0.000
0.000 0.000 0.500
0.500 0.000 0.000
0.500 0.500 0.500
0.000 0.000 0.000
```

Output
- Formation energy (no corrections): 0.8366 eV/atom
- Symmetry: No. 123

***

(4)
First-principles (PBE-GGA) data for K2TlMoS4 after structural relaxation, as listed in Alexandria via LeMat-Bulk.

Cell and atoms, written as POSCAR:
```
K2TlMoS4
1.0
6.913 0.348 0.533
-2.631 6.402 -0.533
-2.631 -3.065 5.646
K S Mo Tl
2 4 1 1
direct
0.500 0.750 0.250
0.000 0.000 0.000
0.329 0.825 0.815
0.010 0.185 0.514
0.990 0.504 0.175
0.671 0.486 0.496
0.000 0.500 0.500
0.500 0.250 0.750
```

Output
- Formation energy (no corrections): -0.7639 eV/atom
- Symmetry: No. 82

***

(5)
First-principles (PBE-GGA) data for KMoW2S after structural relaxation, as listed in Alexandria via LeMat-Bulk.

Cell and atoms, written as POSCAR:
```
KMoW2S
1.0
4.581 0.000 0.000
0.000 4.615 0.000
0.000 0.000 4.581
W K Mo S
2 1 1 1
direct
0.000 0.000 0.500
0.500 0.000 0.000
0.500 0.500 0.500
0.000 0.500 0.000
0.000 0.000 0.000
```

Output
- Formation energy (no corrections): 1.3677 eV/atom
- Symmetry: No. 123

***

(6)
First-principles (PBE-GGA) data for K2SbMo after structural relaxation, as listed in Alexandria via LeMat-Bulk.

Cell and atoms, written as POSCAR:
```
K2SbMo
1.0
13.183 0.000 0.000
0.000 13.183 0.000
6.592 6.592 2.653
Sb K Mo
2 4 2
direct
0.750 0.250 0.500
0.000 0.000 0.000
0.812 0.125 0.250
0.938 0.625 0.250
0.375 0.188 0.750
0.875 0.062 0.750
0.500 0.500 0.000
0.250 0.750 0.500
```

Output
- Formation energy (no corrections): 0.6414 eV/atom
- Symmetry: No. 122

***

(7)
First-principles (PBE-GGA) data for K3SbMo after structural relaxation, as listed in Alexandria via LeMat-Bulk.

Cell and atoms, written as POSCAR:
```
K3SbMo
1.0
6.718 0.000 0.000
0.000 6.718 0.000
0.000 0.000 6.718
Mo K Sb
1 3 1
direct
0.500 0.500 0.500
0.000 0.500 0.000
0.500 0.000 0.000
0.000 0.000 0.500
0.000 0.000 0.000
```

Output
- Formation energy (no corrections): 0.9103 eV/atom
- Symmetry: No. 221

***

(8)
First-principles (PBE-GGA) data for K4SbMo after structural relaxation, as listed in Alexandria via LeMat-Bulk.

Cell and atoms, written as POSCAR:
```
K4SbMo
1.0
0.241 -0.162 6.935
-2.187 5.466 3.678
-5.878 -0.412 3.668
K Sb Mo
4 1 1
direct
0.374 0.374 0.374
0.374 0.879 0.374
0.374 0.374 0.879
0.879 0.374 0.374
0.000 0.000 0.000
0.750 0.750 0.750
```

Output
- Formation energy (no corrections): 0.8943 eV/atom
- Symmetry: No. 216

***

(9)
First-principles (PBE-GGA) data for K2SbMo after structural relaxation, as listed in Alexandria via LeMat-Bulk.

Cell and atoms, written as POSCAR:
```
K2SbMo
1.0
-4.208 5.036 0.042
-5.910 1.656 -2.323
-3.100 -0.639 3.143
Sb K Mo
1 2 1
direct
0.250 0.250 0.250
0.500 0.500 0.500
0.000 0.000 0.000
0.750 0.750 0.750
```

Output
- Formation energy (no corrections): 0.7287 eV/atom
- Symmetry: No. 139

***

(10)
First-principles (PBE-GGA) data for K2SbMo after structural relaxation, as listed in Alexandria via LeMat-Bulk.

Cell and atoms, written as POSCAR:
```
K2SbMo
1.0
-2.709 2.874 11.649
0.083 1.403 12.219
0.039 4.514 11.442
Mo Sb K
1 1 2
direct
0.250 0.250 0.250
0.750 0.750 0.750
0.499 0.499 0.499
0.001 0.001 0.001
```

Output
- Formation energy (no corrections): 0.9816 eV/atom
- Symmetry: No. 166

***

(11)
First-principles (PBE-GGA) data for KSbMo after structural relaxation, as listed in Alexandria via LeMat-Bulk.

Cell and atoms, written as POSCAR:
```
KSbMo
1.0
3.378 0.000 0.000
-1.689 2.925 0.000
0.000 0.000 7.862
K Mo Sb
1 1 1
direct
0.000 0.000 0.002
0.667 0.333 0.380
0.333 0.667 0.618
```

Output
- Formation energy (no corrections): 0.6389 eV/atom
- Symmetry: No. 156

***

(12)
First-principles (PBE-GGA) data for KSbMo after structural relaxation, as listed in Alexandria via LeMat-Bulk.

Cell and atoms, written as POSCAR:
```
KSbMo
1.0
-2.253 -1.233 -3.950
4.677 -0.482 0.292
-0.646 -5.088 1.956
Sb Mo K
1 1 1
direct
0.333 0.667 0.499
0.667 0.333 0.500
0.000 0.000 0.000
```

Output
- Formation energy (no corrections): 0.6486 eV/atom
- Symmetry: No. 156

***

(13)
First-principles (PBE-GGA) data for K2SbMo after structural relaxation, as listed in Alexandria via LeMat-Bulk.

Cell and atoms, written as POSCAR:
```
K2SbMo
1.0
-4.807 0.034 4.540
2.674 -0.526 6.024
0.373 4.007 -5.247
Sb K Mo
1 2 1
direct
0.309 0.809 0.500
0.030 0.030 0.000
0.729 0.229 0.500
0.432 0.432 0.000
```

Output
- Formation energy (no corrections): 0.5603 eV/atom
- Symmetry: No. 44

***

(14)
First-principles (PBE-GGA) data for K2SbMo after structural relaxation, as listed in Alexandria via LeMat-Bulk.

Cell and atoms, written as POSCAR:
```
K2SbMo
1.0
3.028 -0.006 0.000
0.014 3.028 0.000
0.000 0.000 11.781
K Mo Sb
2 1 1
direct
0.000 0.000 0.996
0.000 0.000 0.504
0.500 0.500 0.250
0.500 0.500 0.750
```

Output
- Formation energy (no corrections): 0.8455 eV/atom
- Symmetry: No. 65

***

(15)
First-principles (PBE-GGA) data for KSbMo4 after structural relaxation, as listed in Alexandria via LeMat-Bulk.

Cell and atoms, written as POSCAR:
```
KSbMo4
1.0
0.000 3.868 3.868
3.868 0.000 3.868
3.868 3.868 0.000
Mo K Sb
4 1 1
direct
0.375 0.375 0.876
0.375 0.876 0.375
0.375 0.375 0.375
0.876 0.375 0.375
0.000 0.000 0.000
0.750 0.750 0.750
```

Output
- Formation energy (no corrections): 0.9264 eV/atom
- Symmetry: No. 216

***

(16)
First-principles (PBE-GGA) data for KSb4Mo after structural relaxation, as listed in Alexandria via LeMat-Bulk.

Cell and atoms, written as POSCAR:
```
KSb4Mo
1.0
-1.814 -2.439 5.564
-5.631 1.558 2.459
-4.663 -4.290 0.212
Sb K Mo
4 1 1
direct
0.374 0.877 0.374
0.374 0.374 0.374
0.374 0.374 0.877
0.877 0.374 0.374
0.750 0.750 0.750
0.000 0.000 0.000
```

Output
- Formation energy (no corrections): 0.5949 eV/atom
- Symmetry: No. 216

***

(17)
First-principles (PBE-GGA) data for K2SbMo after structural relaxation, as listed in Alexandria via LeMat-Bulk.

Cell and atoms, written as POSCAR:
```
K2SbMo
1.0
-1.653 -1.230 -3.978
4.136 -0.977 -1.417
-0.612 -5.365 1.913
Sb K Mo
1 2 1
direct
0.000 0.500 0.500
0.000 0.000 0.000
0.500 0.500 0.000
0.500 0.000 0.500
```

Output
- Formation energy (no corrections): 0.7152 eV/atom
- Symmetry: No. 123

***

(18)
First-principles (PBE-GGA) data for K2SbMo after structural relaxation, as listed in Alexandria via LeMat-Bulk.

Cell and atoms, written as POSCAR:
```
K2SbMo
1.0
-3.400 -1.235 0.693
1.400 -2.661 2.129
0.820 3.599 10.442
Sb K Mo
1 2 1
direct
0.500 0.828 0.672
0.500 0.175 0.328
0.000 0.075 0.920
0.000 0.421 0.580
```

Output
- Formation energy (no corrections): 0.4191 eV/atom
- Symmetry: No. 6

***

(19)
First-principles (PBE-GGA) data for K2SbMo after structural relaxation, as listed in Alexandria via LeMat-Bulk.

Cell and atoms, written as POSCAR:
```
K2SbMo
1.0
4.750 0.001 -0.006
2.375 4.113 -0.006
2.349 1.356 9.166
Mo Sb K
1 1 2
direct
0.542 0.542 0.375
0.209 0.209 0.375
0.965 0.965 0.101
0.785 0.785 0.649
```

Output
- Formation energy (no corrections): 0.4641 eV/atom
- Symmetry: No. 8

***

(20)
First-principles (PBE-GGA) data for K2SbMo after structural relaxation, as listed in Alexandria via LeMat-Bulk.

Cell and atoms, written as POSCAR:
```
K2SbMo
1.0
6.927 -0.002 -0.008
-2.540 5.839 -0.011
1.847 0.820 2.969
Mo Sb K
1 1 2
direct
0.000 0.500 0.500
0.500 0.500 0.000
0.500 0.000 0.500
0.000 0.000 0.000
```

Output
- Formation energy (no corrections): 0.8252 eV/atom
- Symmetry: No. 12